No. 1
The following is a PBE calculation of a relaxed structure of Hf2Ge2Ir, from Alexandria.

Output
Magnetization in μB per cell: 0.0
Formation energy from the elements in eV/f.u.: -3.3

```
data_Hf2Ge2Ir
_chemical_formula_sum 'Hf4 Ge4 Ir2'
_space_group_name_H-M_alt 'I m m m'
_space_group_IT_number 71
_space_group_name_Hall '-I 2 2'
_cell_length_a 3.8615
_cell_length_b 5.5713
_cell_length_c 8.1465
_cell_angle_alpha 90.00
_cell_angle_beta 90.00
_cell_angle_gamma 90.00
loop_
_atom_site_label
_atom_site_fract_x
_atom_site_fract_y
_atom_site_fract_z
Hf1 0.0000 0.0000 0.2093
Ge1 0.0000 0.2768 0.5000
Ir1 0.0000 0.5000 0.0000
```

---

No. 2
The following is a PBE calculation of a relaxed structure of Hf4GeIr, from Alexandria.

Output
Magnetization in μB per cell: 0.0
Formation energy from the elements in eV/f.u.: -0.2

```
data_Hf4GeIr
_chemical_formula_sum 'Hf16 Ge4 Ir4'
_space_group_name_H-M_alt 'I 41 m d'
_space_group_IT_number 109
_space_group_name_Hall 'I 4bw -2'
_cell_length_a 8.4688
_cell_length_b 8.4688
_cell_length_c 8.1477
_cell_angle_alpha 90.00
_cell_angle_beta 90.00
_cell_angle_gamma 90.00
loop_
_atom_site_label
_atom_site_fract_x
_atom_site_fract_y
_atom_site_fract_z
Hf1 0.0000 0.1914 0.0000
Hf2 0.0000 0.2004 0.4920
Ge1 0.0000 0.0000 0.7429
Ir1 0.0000 0.0000 0.2449
```

---

- Number 2 is which compound?
  Hf4GeIr